Arrangement P

A plane-wave DFT calculation with GGA-PBE was carried out for a relaxed BeGaH3 crystal.

extended XYZ file:
```
5
Lattice="2.4830 0.0000 0.0000 0.0022 4.1255 0.0000 1.1871 -0.0005 4.9572" Properties=species:S:1:pos:R:3 pbc="T T T"
Be 0.0000 0.0000 0.0000
Ga 2.4870 1.8484 1.8912
H 2.4310 3.7634 4.2226
H 2.4832 3.5618 1.3435
H 2.4817 1.4362 0.1547
```

Properties
magnetic moment	0.000	μB/atom
space group	P1, No. 1

Arrangement Q

A plane-wave DFT calculation with GGA-PBE was carried out for a relaxed BeGaH3 crystal.

extended XYZ file:
```
5
Lattice="3.4284 0.0000 0.0000 0.0000 3.4284 0.0000 0.0000 0.0000 3.4284" Properties=species:S:1:pos:R:3 pbc="T T T"
Be 0.0000 0.0000 0.0000
Ga 1.7142 1.7142 1.7142
H 0.0000 0.0000 1.7142
H 0.0000 1.7142 0.0000
H 1.7142 0.0000 0.0000
```

Properties
magnetic moment	0.000	μB/atom
space group	Pm-3m, No. 221

Most stable structure, least stable structure: arrangement P, arrangement Q.

Arrangement P

A plane-wave DFT calculation with GGA-PBE was carried out for a relaxed BeGaH2 crystal.

extended XYZ file:
```
16
Lattice="4.4534 0.0000 0.0000 0.0000 4.4534 0.0000 0.0000 0.0000 7.9357" Properties=species:S:1:pos:R:3 pbc="T T T"
Be 0.0000 0.0000 0.0000
Be 0.0000 2.2267 1.9839
Be 2.2267 0.0000 5.9518
Be 2.2267 2.2267 3.9679
Ga 0.0000 0.0000 3.9679
Ga 0.0000 2.2267 5.9518
Ga 2.2267 0.0000 1.9839
Ga 2.2267 2.2267 0.0000
H 0.0197 1.1134 0.9920
H 1.1134 2.2464 2.9759
H 1.1134 4.4337 6.9438
H 2.2070 1.1134 4.9598
H 2.2464 3.3401 4.9598
H 3.3401 0.0197 6.9438
H 3.3401 2.2070 2.9759
H 4.4337 3.3401 0.9920
```

Properties
magnetic moment	0.000	μB/atom
space group	I-42d, No. 122

Arrangement Q

A plane-wave DFT calculation with GGA-PBE was carried out for a relaxed BeGaH2 crystal.

extended XYZ file:
```
16
Lattice="5.0975 0.0000 0.0000 0.0000 5.0975 0.0000 0.0000 0.0000 5.0975" Properties=species:S:1:pos:R:3 pbc="T T T"
Be 0.0000 0.0000 0.0000
Be 0.0000 2.5487 2.5487
Be 2.5487 0.0000 2.5487
Be 2.5487 2.5487 0.0000
Ga 0.0000 0.0000 2.5487
Ga 0.0000 2.5487 0.0000
Ga 2.5487 0.0000 0.0000
Ga 2.5487 2.5487 2.5487
H 1.2744 1.2744 1.2744
H 1.2744 1.2744 3.8231
H 1.2744 3.8231 1.2744
H 1.2744 3.8231 3.8231
H 3.8231 1.2744 1.2744
H 3.8231 1.2744 3.8231
H 3.8231 3.8231 1.2744
H 3.8231 3.8231 3.8231
```

Properties
magnetic moment	0.000	μB/atom
space group	Fm-3m, No. 225

Most stable structure, least stable structure: arrangement P, arrangement Q.

Arrangement P

A plane-wave DFT calculation with GGA-PBE was carried out for a relaxed BeGa2Hg crystal.

extended XYZ file:
```
16
Lattice="4.2415 0.0000 0.0000 0.0000 4.2415 0.0000 0.0000 0.0000 16.5136" Properties=species:S:1:pos:R:3 pbc="T T T"
Be 0.0000 0.0000 0.0000
Be 0.0000 2.1208 4.1284
Be 2.1208 0.0000 12.3852
Be 2.1208 2.1208 8.2568
Ga 0.7808 1.0604 2.0642
Ga 1.0604 2.9015 6.1926
Ga 1.0604 3.4608 14.4494
Ga 1.3400 1.0604 10.3210
Ga 2.9015 3.1811 10.3210
Ga 3.1811 0.7808 14.4494
Ga 3.1811 1.3400 6.1926
Ga 3.4608 3.1811 2.0642
Hg 0.0000 0.0000 8.2568
Hg 0.0000 2.1208 12.3852
Hg 2.1208 0.0000 4.1284
Hg 2.1208 2.1208 0.0000
```

Properties
magnetic moment	0.000	μB/atom
space group	I-42d, No. 122

Arrangement Q

A plane-wave DFT calculation with GGA-PBE was carried out for a relaxed BeGa2Hg crystal.

extended XYZ file:
```
16
Lattice="6.6685 0.0000 0.0000 0.0000 6.6685 0.0000 0.0000 0.0000 6.6685" Properties=species:S:1:pos:R:3 pbc="T T T"
Be 0.0000 0.0000 0.0000
Be 0.0000 3.3343 3.3343
Be 3.3343 0.0000 3.3343
Be 3.3343 3.3343 0.0000
Ga 1.6671 1.6671 1.6671
Ga 1.6671 1.6671 5.0014
Ga 1.6671 5.0014 1.6671
Ga 1.6671 5.0014 5.0014
Ga 5.0014 1.6671 1.6671
Ga 5.0014 1.6671 5.0014
Ga 5.0014 5.0014 1.6671
Ga 5.0014 5.0014 5.0014
Hg 0.0000 0.0000 3.3343
Hg 0.0000 3.3343 0.0000
Hg 3.3343 0.0000 0.0000
Hg 3.3343 3.3343 3.3343
```

Properties
magnetic moment	0.000	μB/atom
space group	Fm-3m, No. 225

Most stable structure, least stable structure: arrangement P, arrangement Q.

Arrangement P

A plane-wave DFT calculation with GGA-PBE was carried out for a relaxed BeGa3Hg crystal.

extended XYZ file:
```
5
Lattice="4.6149 0.0000 0.0000 0.0000 4.6149 0.0000 0.0000 0.0000 4.6149" Properties=species:S:1:pos:R:3 pbc="T T T"
Be 0.0000 0.0000 0.0000
Ga 0.0000 0.0000 2.3075
Ga 0.0000 2.3075 0.0000
Ga 2.3075 0.0000 0.0000
Hg 2.3075 2.3075 2.3075
```

Properties
magnetic moment	0.000	μB/atom
space group	Pm-3m, No. 221

Arrangement Q

A plane-wave DFT calculation with GGA-PBE was carried out for a relaxed BeGa3Hg crystal.

extended XYZ file:
```
5
Lattice="5.1794 0.0000 0.0000 0.0000 5.1794 0.0000 0.0000 0.0000 5.1794" Properties=species:S:1:pos:R:3 pbc="T T T"
Be 0.0000 0.0000 0.0000
Ga 0.0000 2.5897 2.5897
Ga 2.5897 0.0000 2.5897
Ga 2.5897 2.5897 0.0000
Hg 2.5897 2.5897 2.5897
```

Properties
magnetic moment	0.000	μB/atom
space group	Pm-3m, No. 221

Most stable structure, least stable structure: arrangement P, arrangement Q.

Arrangement P

A plane-wave DFT calculation with GGA-PBE was carried out for a relaxed Be3GaI crystal.

extended XYZ file:
```
5
Lattice="4.5206 0.0000 0.0000 0.0000 4.5206 0.0000 0.0000 0.0000 4.5206" Properties=species:S:1:pos:R:3 pbc="T T T"
Be 0.0000 0.0000 2.2603
Be 0.0000 2.2603 0.0000
Be 2.2603 0.0000 0.0000
Ga 0.0000 0.0000 0.0000
I 2.2603 2.2603 2.2603
```

Properties
magnetic moment	0.000	μB/atom
space group	Pm-3m, No. 221

Arrangement Q

A plane-wave DFT calculation with GGA-PBE was carried out for a relaxed Be3GaI crystal.

extended XYZ file:
```
5
Lattice="4.7977 0.0000 0.0000 0.0000 4.7977 0.0000 0.0000 0.0000 4.7977" Properties=species:S:1:pos:R:3 pbc="T T T"
Be 0.0000 0.0000 2.3988
Be 0.0000 2.3988 0.0000
Be 2.3988 0.0000 0.0000
Ga 2.3988 2.3988 2.3988
I 0.0000 0.0000 0.0000
```

Properties
magnetic moment	0.000	μB/atom
space group	Pm-3m, No. 221

Most stable structure, least stable structure: arrangement P, arrangement Q.

Arrangement P

A plane-wave DFT calculation with GGA-PBE was carried out for a relaxed BeGa3I crystal.

extended XYZ file:
```
5
Lattice="4.8035 0.0000 0.0000 0.0000 4.8035 0.0000 0.0000 0.0000 4.8035" Properties=species:S:1:pos:R:3 pbc="T T T"
Be 0.0000 0.0000 0.0000
Ga 0.0000 0.0000 2.4017
Ga 0.0000 2.4017 0.0000
Ga 2.4017 0.0000 0.0000
I 2.4017 2.4017 2.4017
```

Properties
magnetic moment	0.000	μB/atom
space group	Pm-3m, No. 221

Arrangement Q

A plane-wave DFT calculation with GGA-PBE was carried out for a relaxed BeGa3I crystal.

extended XYZ file:
```
5
Lattice="5.9458 0.0000 0.0000 0.0000 5.9458 0.0000 0.0000 0.0000 5.9458" Properties=species:S:1:pos:R:3 pbc="T T T"
Be 0.0000 0.0000 0.0000
Ga 0.0000 2.9729 2.9729
Ga 2.9729 0.0000 2.9729
Ga 2.9729 2.9729 0.0000
I 2.9729 2.9729 2.9729
```

Properties
magnetic moment	0.000	μB/atom
space group	Pm-3m, No. 221

Most stable structure, least stable structure: arrangement P, arrangement Q.